Computed, not measured: a relaxed structure of PuFePbO5 at the GGA+U level of DFT.

CIF file:
```
data_PuFePbO5
_chemical_formula_sum 'Pu4 Fe4 Pb4 O20'
_space_group_name_H-M_alt 'C 1 2/c 1'
_space_group_IT_number 15
_cell_length_a 7.255
_cell_length_b 9.767
_cell_length_c 7.955
_cell_angle_alpha 90.00
_cell_angle_beta 114.72
_cell_angle_gamma 90.00
loop_
_space_group_symop_operation_xyz
'x,y,z'
'-x,-y,-z'
'-x,y,-z+1/2'
'x,-y,z+1/2'
'x+1/2,y+1/2,z'
'-x+1/2,-y+1/2,-z'
'-x+1/2,y+1/2,-z+1/2'
'x+1/2,-y+1/2,z+1/2'
loop_
_atom_site_label
_atom_site_type_symbol
_atom_site_fract_x
_atom_site_fract_y
_atom_site_fract_z
Pu1 Pu 0.000 0.000 0.000
Fe1 Fe 0.000 0.316 0.250
Pb1 Pb 0.000 0.326 0.750
O1 O 0.000 0.075 0.750
O2 O 0.103 0.206 0.111
O3 O 0.193 0.441 0.409
```

E_tot	-255.94	eV per cell